No. 1
A plane-wave DFT calculation with PBE was carried out for a geometry-optimized Hg4PbW structure. Values from VASP.

```
&SYSTEM
  ibrav = 0, nat = 6, ntyp = 3
/
ATOMIC_SPECIES
Hg 200.59 Hg.upf
Pb 207.20 Pb.upf
W 183.84 W.upf
CELL_PARAMETERS angstrom
0.000 4.161 4.161
4.161 0.000 4.161
4.161 4.161 0.000
ATOMIC_POSITIONS crystal
Hg 0.375 0.876 0.375
Hg 0.375 0.375 0.375
Hg 0.375 0.375 0.876
Pb 0.750 0.750 0.750
W 0.000 0.000 0.000
Hg 0.876 0.375 0.375
```

Output
crystal system: cubic
magnetization: 3.5 μB/cell
formation enthalpy at 0 K: 0.90 eV/atom


No. 2
A plane-wave DFT calculation with PBE was carried out for a geometry-optimized BeIn2Mo structure. Values from VASP.

```
&SYSTEM
  ibrav = 0, nat = 4, ntyp = 3
/
ATOMIC_SPECIES
Mo 95.94 Mo.upf
Be 9.01 Be.upf
In 114.82 In.upf
CELL_PARAMETERS angstrom
3.222 0.000 0.000
0.000 3.222 0.000
0.000 0.000 7.171
ATOMIC_POSITIONS crystal
Mo 0.000 0.000 0.567
Be 0.500 0.500 0.673
In 0.000 0.000 0.959
In 0.500 0.500 0.301
```

Output
crystal system: tetragonal
magnetization: 0.0 μB/cell
formation enthalpy at 0 K: 0.35 eV/atom


No. 3
A plane-wave DFT calculation with PBE was carried out for a geometry-optimized TmGa2Re structure. Values from VASP.

```
&SYSTEM
  ibrav = 0, nat = 4, ntyp = 3
/
ATOMIC_SPECIES
Re 186.21 Re.upf
Tm 168.93 Tm.upf
Ga 69.72 Ga.upf
CELL_PARAMETERS angstrom
-0.073 2.750 1.335
-2.622 1.072 1.150
1.042 -2.553 8.819
ATOMIC_POSITIONS crystal
Re 0.000 0.000 0.000
Tm 0.500 0.500 0.500
Ga 0.260 0.260 0.220
Ga 0.740 0.740 0.780
```

Output
crystal system: trigonal
magnetization: 0.0 μB/cell
formation enthalpy at 0 K: 0.09 eV/atom


No. 4
A plane-wave DFT calculation with PBE was carried out for a geometry-optimized TePW2 structure. Values from VASP.

```
&SYSTEM
  ibrav = 0, nat = 8, ntyp = 3
/
ATOMIC_SPECIES
P 30.97 P.upf
W 183.84 W.upf
Te 127.60 Te.upf
CELL_PARAMETERS angstrom
-4.281 -0.951 -1.340
-0.758 -2.174 3.966
-5.030 5.193 4.537
ATOMIC_POSITIONS crystal
P 0.500 0.500 0.000
W 0.375 0.461 0.750
W 0.211 0.625 0.250
Te 0.750 0.250 0.500
Te 0.000 0.000 0.000
P 0.250 0.750 0.500
W 0.875 0.789 0.750
W 0.539 0.125 0.250
```

Output
crystal system: tetragonal
energy above the most stable polymorph in this dataset: 474 meV/atom
magnetization: 0.0 μB/cell
ΔE_f (raw): 0.659 eV/atom


No. 5
A plane-wave DFT calculation with PBE was carried out for a geometry-optimized MgCuPb structure. Values from VASP.

```
&SYSTEM
  ibrav = 0, nat = 6, ntyp = 3
/
ATOMIC_SPECIES
Mg 24.30 Mg.upf
Cu 63.55 Cu.upf
Pb 207.20 Pb.upf
CELL_PARAMETERS angstrom
3.259 0.000 0.000
0.000 3.259 0.000
-1.630 -1.630 12.263
ATOMIC_POSITIONS crystal
Mg 0.164 0.164 0.329
Cu 0.727 0.727 0.454
Pb 0.568 0.568 0.136
Cu 0.273 0.273 0.546
Pb 0.432 0.432 0.864
Mg 0.836 0.836 0.671
```

Output
crystal system: tetragonal
magnetization: 0.0 μB/cell
formation enthalpy at 0 K: -0.01 eV/atom


No. 6
A plane-wave DFT calculation with PBE was carried out for a geometry-optimized Ca3ZnRe structure. Values from VASP.

```
&SYSTEM
  ibrav = 0, nat = 5, ntyp = 3
/
ATOMIC_SPECIES
Ca 40.08 Ca.upf
Re 186.21 Re.upf
Zn 65.41 Zn.upf
CELL_PARAMETERS angstrom
5.511 0.000 0.000
0.000 5.511 0.000
0.000 0.000 5.511
ATOMIC_POSITIONS crystal
Ca 0.000 0.000 0.500
Ca 0.500 0.000 0.000
Re 0.000 0.000 0.000
Ca 0.000 0.500 0.000
Zn 0.500 0.500 0.500
```

Output
crystal system: cubic
energy above the most stable polymorph in this dataset: 0 meV/atom
magnetization: 1.1 μB/cell
formation enthalpy at 0 K: 0.74 eV/atom


No. 7
A plane-wave DFT calculation with PBE was carried out for a geometry-optimized Rb2TiReF6 structure. Values from VASP.

```
&SYSTEM
  ibrav = 0, nat = 10, ntyp = 4
/
ATOMIC_SPECIES
F 19.00 F.upf
Re 186.21 Re.upf
Rb 85.47 Rb.upf
Ti 47.87 Ti.upf
CELL_PARAMETERS angstrom
-5.127 -3.096 0.802
3.024 -5.186 -0.689
-0.316 -4.270 4.256
ATOMIC_POSITIONS crystal
F 0.744 0.744 0.513
F 0.256 0.744 0.000
F 0.744 0.256 0.000
F 0.256 0.256 0.000
Re 0.000 0.000 0.000
Rb 0.750 0.250 0.500
Rb 0.250 0.750 0.500
F 0.744 0.744 0.000
Ti 0.500 0.500 0.000
F 0.256 0.256 0.487
```

Output
crystal system: tetragonal
magnetization: 1.0 μB/cell
ΔE_f (raw): -2.069 eV/atom


No. 8
A plane-wave DFT calculation with PBE was carried out for a geometry-optimized Si2MoAu structure. Values from VASP.

```
&SYSTEM
  ibrav = 0, nat = 4, ntyp = 3
/
ATOMIC_SPECIES
Mo 95.94 Mo.upf
Si 28.09 Si.upf
Au 196.97 Au.upf
CELL_PARAMETERS angstrom
3.222 0.000 0.000
0.000 3.222 0.000
0.000 0.000 5.848
ATOMIC_POSITIONS crystal
Mo 0.500 0.500 0.750
Si 0.000 0.000 0.531
Au 0.500 0.500 0.250
Si 0.000 0.000 0.969
```

Output
crystal system: tetragonal
energy above the most stable polymorph in this dataset: 57 meV/atom
magnetization: 0.0 μB/cell
ΔE_f (raw): -0.006 eV/atom


The records above yield N(E_F) values of 2.40; 3.09; 2.02; 5.94; 2.60; 3.91; 9.36; 2.62 states/eV per cell, respectively.